Below is crystalline RbBa2CdO at its relaxed geometry, with properties calculated at the GGA-PBE level.

Calculated values
Crystal system: tetragonal
E_form (uncorrected) (eV/atom): -0.936
Space group: No. 123
VASP energy (eV per cell): -15.367

Cell: 5.449 6.052 5.449 Å, 90.00 90.00 90.00°
Element x y z (fractional)
O 0.000 0.000 0.000
Ba 0.000 0.000 0.500
Ba 0.500 0.000 0.000
Rb 0.000 0.500 0.000
Cd 0.500 0.500 0.500

Below is crystalline BaSb2Pb at its relaxed geometry, with properties calculated at the GGA-PBE level.

Calculated values
Crystal system: orthorhombic
E_form (uncorrected) (eV/atom): -0.436
Space group: No. 65
VASP energy (eV per cell): -15.620

Cell: 8.843 5.187 4.845 Å, 89.98 56.80 126.63°
Element x y z (fractional)
Ba 0.000 0.500 0.500
Pb 0.500 0.500 0.000
Sb 0.000 0.000 0.000
Sb 0.500 0.000 0.500

Below is crystalline KMg2Mo at its relaxed geometry, with properties calculated at the GGA-PBE level.

Calculated values
Crystal system: trigonal
E_form (eV per atom): 0.6075
Space group: No. 166
VASP energy (eV per cell): -12.688

Cell: 11.473 11.473 11.473 Å, 15.37 15.37 15.37°
Element x y z (fractional)
K 0.750 0.750 0.750
Mg 0.986 0.986 0.986
Mg 0.514 0.514 0.514
Mo 0.250 0.250 0.250

Below is crystalline AcPmNiRh at its relaxed geometry, with properties calculated at the GGA-PBE level.

Calculated values
Crystal system: orthorhombic
E_form (eV per atom): -0.4946
Space group: No. 38
VASP energy (eV per cell): -23.970

Cell: 4.036 4.239 5.977 Å, 90.00 109.73 90.00°
Element x y z (fractional)
Ac 0.142 0.000 0.284
Pm 0.867 0.500 0.733
Ni 0.574 0.500 0.148
Rh 0.418 0.000 0.835

Below is crystalline Tm6Sb3N at its relaxed geometry, with properties calculated at the GGA-PBE level.

Calculated values
Crystal system: orthorhombic
E_form (uncorrected) (eV/atom): -0.838
Space group: No. 36
VASP energy (eV per cell): -111.799

Cell: 6.931 9.089 9.089 Å, 101.05 90.00 90.00°
Element x y z (fractional)
Tm 0.192 0.702 0.623
Tm 0.692 0.623 0.702
Tm 0.168 0.416 0.894
Tm 0.668 0.894 0.416
Tm 0.148 0.055 0.945
Tm 0.723 0.231 0.769
Tm 0.223 0.769 0.231
Tm 0.648 0.945 0.055
Tm 0.168 0.106 0.584
Tm 0.668 0.584 0.106
Tm 0.192 0.377 0.298
Tm 0.692 0.298 0.377
Sb 0.488 0.933 0.731
Sb 0.988 0.731 0.933
Sb 0.386 0.393 0.607
Sb 0.886 0.607 0.393
Sb 0.988 0.067 0.269
Sb 0.488 0.269 0.067
N 0.031 0.199 0.801
N 0.531 0.801 0.199

Below is crystalline Y2ZrRh at its relaxed geometry, with properties calculated at the GGA-PBE level.

Calculated values
Crystal system: monoclinic
E_form (eV per atom): -0.2191
Space group: No. 6
VASP energy (eV per cell): -29.704

Cell: 4.423 3.762 6.253 Å, 72.50 90.00 90.00°
Element x y z (fractional)
Rh 0.500 0.557 0.757
Y 0.000 0.967 0.942
Y 0.500 0.293 0.291
Zr 0.000 0.683 0.510

Below is crystalline Pr2Y3Th3 at its relaxed geometry, with properties calculated at the GGA-PBE level.

Calculated values
Crystal system: hexagonal
E_form (eV per atom): 0.1805
Space group: No. 189
VASP energy (eV per cell): -49.767

Cell: 3.698 9.147 9.147 Å, 119.99 90.00 90.00°
Element x y z (fractional)
Pr 0.000 0.667 0.333
Pr 0.000 0.333 0.667
Y 0.500 0.000 0.395
Y 0.500 0.395 0.000
Y 0.500 0.605 0.605
Th 0.000 0.000 0.776
Th 0.000 0.776 0.000
Th 0.000 0.224 0.224

Below is crystalline BeSnTe2 at its relaxed geometry, with properties calculated at the GGA-PBE level.

Calculated values
Crystal system: trigonal
E_form (uncorrected) (eV/atom): 0.032
Space group: No. 166
VASP energy (eV per cell): -13.886

Cell: 8.125 8.125 8.125 Å, 34.81 34.81 34.81°
Element x y z (fractional)
Be 0.000 0.000 0.000
Te 0.098 0.098 0.098
Te 0.902 0.902 0.902
Sn 0.500 0.500 0.500

Below is crystalline NbMo2W2 at its relaxed geometry, with properties calculated at the GGA-PBE level.

Calculated values
Crystal system: monoclinic
E_form (eV per atom): 0.5699
Space group: No. 12
VASP energy (eV per cell): -54.789

Cell: 4.692 4.692 4.681 Å, 67.50 67.50 76.11°
Element x y z (fractional)
Nb 0.000 0.000 0.000
Mo 0.303 0.303 0.163
Mo 0.697 0.697 0.837
W 0.272 0.728 0.500
W 0.728 0.272 0.500

Below is crystalline CsTmSnS4 at its relaxed geometry, with properties calculated at the GGA-PBE level.

Calculated values
Crystal system: monoclinic
E_form (uncorrected) (eV/atom): -1.206
Space group: No. 11
VASP energy (eV per cell): -68.564

Cell: 6.757 7.023 9.648 Å, 90.00 109.15 90.00°
Element x y z (fractional)
Cs 0.736 0.750 0.946
Cs 0.264 0.250 0.054
Tm 0.795 0.750 0.455
Tm 0.205 0.250 0.545
Sn 0.247 0.750 0.349
Sn 0.753 0.250 0.651
S 0.011 0.504 0.683
S 0.989 0.004 0.317
S 0.989 0.496 0.317
S 0.011 0.996 0.683
S 0.456 0.750 0.193
S 0.544 0.250 0.807
S 0.499 0.750 0.587
S 0.501 0.250 0.413

Below is crystalline CeY2Hg at its relaxed geometry, with properties calculated at the GGA-PBE level.

Calculated values
Crystal system: trigonal
E_form (eV per atom): -0.1334
Space group: No. 166
VASP energy (eV per cell): -19.697

Cell: 3.592 3.592 10.767 Å, 80.40 80.40 60.00°
Element x y z (fractional)
Y 0.257 0.257 0.229
Y 0.743 0.743 0.771
Hg 0.000 0.000 0.000
Ce 0.500 0.500 0.500

Below is crystalline MgRhBr at its relaxed geometry, with properties calculated at the GGA-PBE level.

Calculated values
Crystal system: hexagonal
E_form (uncorrected) (eV/atom): 0.583
Space group: No. 194
VASP energy (eV per cell): -17.737

Cell: 4.476 4.476 9.404 Å, 90.00 90.00 120.00°
Element x y z (fractional)
Mg 0.333 0.667 0.250
Mg 0.667 0.333 0.750
Rh 0.000 0.000 0.000
Rh 0.000 0.000 0.500
Br 0.000 0.000 0.250
Br 0.000 0.000 0.750